# 1
Density functional theory data (PBE) for crystalline Ga8IrAu2 at its relaxed geometry.

Calculated values
space group: C2/m (12)
VASP energy: -3.80 eV/atom
Fermi-level density of states: 3.71 states/eV per cell
total magnetization: 0.00 μB/f.u.

a = 4.0508 Å, b = 5.5029 Å, c = 9.6391 Å
α = 105.19°, β = 102.13°, γ = 90.00°
Last column: nearest neighbours and their distance in Å.
Element x y z (fractional)
Ga1 0.3979 0.5952 0.7957  1 Ir 2.52, 2 Au 2.67, 1 Ga 2.74
Ga2 0.6341 0.9473 0.2682  1 Ir 2.62, 2 Au 2.74, 4 Ga 2.74-2.88
Ga3 0.7798 0.7527 0.5597  4 Au 2.73-3.02, 2 Ga 2.83
Ga4 0.9813 0.2575 0.9625  2 Ir 2.55, 1 Ga 2.57
Ga5 0.2202 0.2473 0.4403  4 Au 2.73-3.02, 2 Ga 2.83
Ga6 0.3659 0.0527 0.7318  1 Ir 2.62, 2 Au 2.74, 4 Ga 2.74-2.88
Ga7 0.6021 0.4048 0.2043  1 Ir 2.52, 2 Au 2.67, 1 Ga 2.74
Ga8 0.0187 0.7425 0.0375  2 Ir 2.55, 1 Ga 2.57
Ir1 0.5000 0.0000 0.0000  8 Ga 2.52-2.62
Au1 0.8257 0.3230 0.6513  7 Ga 2.67-2.79
Au2 0.1743 0.6770 0.3487  7 Ga 2.67-2.79

***

# 2
Density functional theory data (PBE) for crystalline Ga5IrAu2 at its relaxed geometry.

Calculated values
space group: Cmcm (63)
VASP energy: -3.94 eV/atom
Fermi-level density of states: 4.05 states/eV per cell
total magnetization: 0.00 μB/f.u.

a = 4.7934 Å, b = 6.8964 Å, c = 12.9161 Å
α = 90.00°, β = 90.00°, γ = 110.34°
Last column: nearest neighbours and their distance in Å.
Element x y z (fractional)
Ga1 0.9633 0.9266 0.8819  1 Ir 2.42, 2 Au 2.51-2.69
Ga2 0.9633 0.9266 0.6181  1 Ir 2.42, 2 Au 2.51-2.69
Ga3 0.2869 0.5739 0.4033  1 Ir 2.50, 3 Au 2.59-2.68
Ga4 0.2869 0.5739 0.0967  1 Ir 2.50, 3 Au 2.59-2.68
Ga5 0.6831 0.3662 0.2500  2 Ir 2.40
Ga6 0.3169 0.6338 0.7500  2 Ir 2.40
Ga7 0.7131 0.4261 0.5967  1 Ir 2.50, 3 Au 2.59-2.68
Ga8 0.7131 0.4261 0.9033  1 Ir 2.50, 3 Au 2.59-2.68
Ga9 0.0367 0.0734 0.1181  1 Ir 2.42, 2 Au 2.51-2.69
Ga10 0.0367 0.0734 0.3819  1 Ir 2.42, 2 Au 2.51-2.69
Ir1 0.8309 0.6618 0.7500  6 Ga 2.40-2.50
Ir2 0.1691 0.3382 0.2500  6 Ga 2.40-2.50
Au1 0.8519 0.7038 0.4423  5 Ga 2.51-2.69
Au2 0.8519 0.7038 0.0577  5 Ga 2.51-2.69
Au3 0.1481 0.2962 0.5577  5 Ga 2.51-2.69
Au4 0.1481 0.2962 0.9423  5 Ga 2.51-2.69

***

# 3
Density functional theory data (PBE) for crystalline La2Ga4IrAu3 at its relaxed geometry.

Calculated values
space group: P-4m2 (115)
VASP energy: -4.74 eV/atom
Fermi-level density of states: 4.81 states/eV per cell
total magnetization: 0.00 μB/f.u.

a = 4.4095 Å, b = 4.4095 Å, c = 10.6899 Å
α = 90.00°, β = 90.00°, γ = 90.00°
Last column: nearest neighbours and their distance in Å.
Element x y z (fractional)
La1 0.5000 0.0000 0.2544  6 Au 3.36-3.43, 8 Ga 3.38-3.50, 2 Ir 3.43
La2 0.0000 0.5000 0.7456  6 Au 3.36-3.43, 8 Ga 3.38-3.50, 2 Ir 3.43
Ga1 0.5000 0.5000 0.0000  4 Au 2.65
Ga2 0.0000 0.0000 0.0000  4 Au 2.65
Ga3 0.5000 0.0000 0.6239  3 Au 2.56-2.57, 2 Ir 2.57
Ga4 0.0000 0.5000 0.3761  3 Au 2.56-2.57, 2 Ir 2.57
Ir1 0.5000 0.5000 0.5000  4 Ga 2.57
Au1 0.0000 0.0000 0.5000  4 Ga 2.57
Au2 0.5000 0.0000 0.8632  5 Ga 2.56-2.65
Au3 0.0000 0.5000 0.1368  5 Ga 2.56-2.65

***

# 4
Density functional theory data (PBE) for crystalline La2GaIrAu at its relaxed geometry.

Calculated values
distance to the lowest polymorph of the same formula: 0 meV per atom
space group: P2_1/m (11)
Fermi-level density of states: 7.52 states/eV per cell
total magnetization: 0.00 μB/f.u.

a = 4.3821 Å, b = 7.6922 Å, c = 7.8189 Å
α = 110.57°, β = 90.00°, γ = 90.00°
Last column: nearest neighbours and their distance in Å.
Element x y z (fractional)
La1 0.7500 0.8718 0.6440  2 Ir 2.94, 2 Au 3.22, 1 Ga 3.28
La2 0.7500 0.7176 0.0421  3 Ir 2.92-3.01, 2 Au 3.26
La3 0.2500 0.1282 0.3560  2 Ir 2.94, 2 Au 3.22, 1 Ga 3.28
La4 0.2500 0.2824 0.9579  3 Ir 2.92-3.01, 2 Au 3.26
Ga1 0.2500 0.5469 0.6646  1 Ir 2.52, 2 Au 2.79
Ga2 0.7500 0.4531 0.3354  1 Ir 2.52, 2 Au 2.79
Ir1 0.2500 0.8728 0.8942  1 Ga 2.52
Ir2 0.7500 0.1272 0.1058  1 Ga 2.52
Au1 0.2500 0.6763 0.3341  3 Ga 2.79-3.08
Au2 0.7500 0.3237 0.6659  3 Ga 2.79-3.08

***

# 5
Density functional theory data (PBE) for crystalline La2GaIrAu at its relaxed geometry.

Calculated values
distance to the lowest polymorph of the same formula: 184 meV per atom
space group: P4/mmm (123)
Fermi-level density of states: 2.87 states/eV per cell
total magnetization: 0.00 μB/f.u.

a = 5.5570 Å, b = 5.5570 Å, c = 4.7603 Å
α = 90.00°, β = 90.00°, γ = 90.00°
Last column: nearest neighbours and their distance in Å.
Element x y z (fractional)
Ir1 0.0000 0.0000 0.0000  2 Ga 2.38
Au1 0.5000 0.5000 0.5000  8 La 3.66, 4 Ga 3.93
Ga1 0.0000 0.0000 0.5000  2 Ir 2.38
La1 0.0000 0.5000 0.0000  2 Ir 2.78
La2 0.5000 0.0000 0.0000  2 Ir 2.78

***

# 6
Density functional theory data (PBE) for crystalline LaGa4Ir2Au at its relaxed geometry.

Calculated values
space group: R-3m (166)
VASP energy: -5.18 eV/atom
Fermi-level density of states: 4.19 states/eV per cell
total magnetization: 0.00 μB/f.u.

a = 4.3532 Å, b = 4.3532 Å, c = 9.3635 Å
α = 76.56°, β = 76.56°, γ = 60.00°
Last column: nearest neighbours and their distance in Å.
Element x y z (fractional)
La1 0.0000 0.0000 0.0000  8 Ga 3.09-3.39
Ga1 0.3997 0.3997 0.8010  1 Au 2.72, 3 Ir 2.72, 3 Ga 2.97
Ga2 0.8749 0.8749 0.3753  4 Ir 2.57-2.79, 3 Au 2.75
Ga3 0.1251 0.1251 0.6247  4 Ir 2.57-2.79, 3 Au 2.75
Ga4 0.6003 0.6003 0.1990  1 Au 2.72, 3 Ir 2.72, 3 Ga 2.97
Ir1 0.7718 0.7718 0.6847  7 Ga 2.57-2.79
Ir2 0.2282 0.2282 0.3153  7 Ga 2.57-2.79
Au1 0.5000 0.5000 0.5000  8 Ga 2.72-2.75, 6 Ir 3.02

***

# 7
Density functional theory data (PBE) for crystalline LaGa2IrAu at its relaxed geometry.

Calculated values
space group: P4/mmm (123)
VASP energy: -5.13 eV/atom
Fermi-level density of states: 1.76 states/eV per cell
total magnetization: 0.00 μB/f.u.

a = 4.8128 Å, b = 4.8128 Å, c = 5.4703 Å
α = 90.00°, β = 90.00°, γ = 90.00°
Last column: nearest neighbours and their distance in Å.
Element x y z (fractional)
Ir1 0.0000 0.0000 0.0000  4 Ga 2.41
Au1 0.5000 0.5000 0.5000  4 La 3.40, 8 Ga 3.64
Ga1 0.0000 0.5000 0.0000  2 Ir 2.41
Ga2 0.5000 0.0000 0.0000  2 Ir 2.41
La1 0.0000 0.0000 0.5000  2 Ir 2.74

***

# 8
Density functional theory data (PBE) for crystalline LiGaIrAu at its relaxed geometry.

Calculated values
space group: F-43m (216)
VASP energy: -4.59 eV/atom
Fermi-level density of states: 1.24 states/eV per cell
total magnetization: 0.00 μB/f.u.

a = 4.3264 Å, b = 4.3264 Å, c = 4.3264 Å
α = 60.00°, β = 60.00°, γ = 60.00°
Last column: nearest neighbours and their distance in Å.
Element x y z (fractional)
Ir1 0.7500 0.7500 0.7500  4 Ga 2.65, 4 Li 2.65
Au1 0.2500 0.2500 0.2500  4 Li 2.65, 4 Ga 2.65
Ga1 0.5000 0.5000 0.5000  4 Ir 2.65, 4 Au 2.65
Li1 0.0000 0.0000 0.0000  4 Au 2.65, 4 Ir 2.65

***

# 9
Density functional theory data (PBE) for crystalline LuGaIrAu at its relaxed geometry.

Calculated values
space group: F-43m (216)
VASP energy: -5.46 eV/atom
Fermi-level density of states: 2.94 states/eV per cell
total magnetization: 0.00 μB/f.u.

a = 4.6630 Å, b = 4.6630 Å, c = 4.6630 Å
α = 60.00°, β = 60.00°, γ = 60.00°
Last column: nearest neighbours and their distance in Å.
Element x y z (fractional)
Ir1 0.5000 0.5000 0.5000  4 Ga 2.86, 4 Lu 2.86
Au1 0.0000 0.0000 0.0000  4 Ga 2.86, 4 Lu 2.86
Lu1 0.7500 0.7500 0.7500  4 Ir 2.86, 4 Au 2.86
Ga1 0.2500 0.2500 0.2500  4 Ir 2.86, 4 Au 2.86

***

# 10
Density functional theory data (PBE) for crystalline GaMo2IrAu at its relaxed geometry.

Calculated values
space group: P4/mmm (123)
VASP energy: -5.24 eV/atom
Fermi-level density of states: 7.77 states/eV per cell
total magnetization: 3.70 μB/f.u.

a = 4.8753 Å, b = 4.9538 Å, c = 4.8753 Å
α = 90.00°, β = 90.00°, γ = 90.00°
Last column: nearest neighbours and their distance in Å.
Element x y z (fractional)
Mo1 0.0000 0.0000 0.5000  2 Au 2.44
Mo2 0.5000 0.0000 0.0000  2 Au 2.44
Ir1 0.0000 0.5000 0.0000  2 Au 2.48
Au1 0.0000 0.0000 0.0000  4 Mo 2.44, 2 Ir 2.48
Ga1 0.5000 0.5000 0.5000  4 Ir 3.45, 8 Mo 3.48

***

# 11
Density functional theory data (PBE) for crystalline Nd2Ga4IrAu3 at its relaxed geometry.

Calculated values
space group: P-4m2 (115)
VASP energy: -4.67 eV/atom
Fermi-level density of states: 5.11 states/eV per cell
total magnetization: 0.00 μB/f.u.

a = 4.3310 Å, b = 4.3310 Å, c = 10.7937 Å
α = 90.00°, β = 90.00°, γ = 90.00°
Last column: nearest neighbours and their distance in Å.
Element x y z (fractional)
Nd1 0.5000 0.0000 0.2556  6 Au 3.31-3.41, 8 Ga 3.31-3.51, 2 Ir 3.41
Nd2 0.0000 0.5000 0.7444  6 Au 3.31-3.41, 8 Ga 3.31-3.51, 2 Ir 3.41
Ga1 0.5000 0.5000 0.0000  4 Au 2.63
Ga2 0.0000 0.0000 0.0000  4 Au 2.63
Ga3 0.5000 0.0000 0.6270  3 Au 2.53-2.56, 2 Ir 2.56
Ga4 0.0000 0.5000 0.3730  3 Au 2.53-2.56, 2 Ir 2.56
Ir1 0.5000 0.5000 0.5000  4 Ga 2.56
Au1 0.0000 0.0000 0.5000  4 Ga 2.56
Au2 0.5000 0.0000 0.8613  5 Ga 2.53-2.63
Au3 0.0000 0.5000 0.1387  5 Ga 2.53-2.63

***

# 12
Density functional theory data (PBE) for crystalline GaNiIrAu at its relaxed geometry.

Calculated values
space group: F-43m (216)
VASP energy: -5.27 eV/atom
Fermi-level density of states: 4.81 states/eV per cell
total magnetization: 0.00 μB/f.u.

a = 4.3383 Å, b = 4.3383 Å, c = 4.3383 Å
α = 60.00°, β = 60.00°, γ = 60.00°
Last column: nearest neighbours and their distance in Å.
Element x y z (fractional)
Ni1 0.2500 0.2500 0.2500  4 Ir 2.66, 4 Au 2.66
Ir1 0.0000 0.0000 0.0000  4 Ni 2.66, 4 Ga 2.66
Au1 0.5000 0.5000 0.5000  4 Ni 2.66, 4 Ga 2.66
Ga1 0.7500 0.7500 0.7500  4 Au 2.66, 4 Ir 2.66